# Al3BiRu (PBE-GGA, relaxed)
# **E_form**: 10.9 kJ per mole of atoms
# **Total magnetic moment**: 0.00 μB/cell
# **Raw total energy**: -4.763 eV/atom
data_Al3BiRu
_chemical_formula_sum 'Al3 Bi1 Ru1'
_cell_length_a 4.775
_cell_length_b 4.775
_cell_length_c 4.775
_cell_angle_alpha 90.00
_cell_angle_beta 90.00
_cell_angle_gamma 90.00
_symmetry_space_group_name_H-M 'P 1'
_symmetry_Int_Tables_number 1
loop_
_symmetry_equiv_pos_as_xyz
'x,y,z'
loop_
_atom_site_label
_atom_site_fract_x
_atom_site_fract_y
_atom_site_fract_z
Ru1 0.000 0.000 0.000
Bi1 0.500 0.500 0.500
Al1 0.000 0.500 0.000
Al2 0.000 0.000 0.500
Al3 0.500 0.000 0.000